No. 1
Entry from Alexandria: a relaxed TbMg3Ag4 crystal (PBE).

Unit cell a=4.8261 b=4.8261 c=6.9658 alpha=90.00 beta=90.00 gamma=90.00
Fractional positions:
Tb 0.0000 0.0000 0.0000
Mg 0.0000 0.0000 0.5000
Mg 0.5000 0.5000 0.0000
Mg 0.5000 0.5000 0.5000
Ag 0.0000 0.5000 0.2688
Ag 0.0000 0.5000 0.7312
Ag 0.5000 0.0000 0.2688
Ag 0.5000 0.0000 0.7312

Output
Space-group type   P4/mmm


No. 2
Entry from Alexandria: a relaxed TbMgAg2 crystal (PBE).

Unit cell a=5.1227 b=5.1227 c=3.3195 alpha=90.00 beta=90.00 gamma=90.00
Fractional positions:
Tb 0.0000 0.0000 0.0000
Mg 0.5000 0.5000 0.0000
Ag 0.0000 0.5000 0.5000
Ag 0.5000 0.0000 0.5000

Output
Space-group type   P4/mmm


No. 3
Entry from Alexandria: a relaxed TbMgAg4 crystal (PBE).

Unit cell a=5.2388 b=5.2388 c=7.1639 alpha=108.99 beta=108.99 gamma=41.09
Fractional positions:
Tb 0.0000 0.0000 0.0000
Mg 0.0000 0.0000 0.5000
Ag 0.3311 0.3311 0.1847
Ag 0.3358 0.3358 0.6517
Ag 0.6642 0.6642 0.3483
Ag 0.6689 0.6689 0.8153

Output
Offset from the most stable computed form   0.000 eV/atom
Space-group type   C2/m


No. 4
Entry from Alexandria: a relaxed TbMg3Ag crystal (PBE).

Unit cell a=7.5273 b=7.5273 c=4.4479 alpha=90.00 beta=90.00 gamma=110.69
Fractional positions:
Tb 0.2147 0.7853 0.0000
Tb 0.7853 0.2147 0.0000
Mg 0.0000 0.0000 0.5000
Mg 0.1749 0.4396 0.5000
Mg 0.4396 0.1749 0.5000
Mg 0.5000 0.5000 0.0000
Mg 0.5604 0.8251 0.5000
Mg 0.8251 0.5604 0.5000
Ag 0.1901 0.1901 0.0000
Ag 0.8099 0.8099 0.0000

Output
Offset from the most stable computed form   0.000 eV/atom
Space-group type   Cmmm


No. 5
Entry from Alexandria: a relaxed Tb2MgAg5 crystal (PBE).

Unit cell a=7.6428 b=7.6428 c=7.6428 alpha=141.61 beta=141.61 gamma=55.42
Fractional positions:
Tb 0.2406 0.2406 0.0000
Tb 0.7594 0.7594 0.0000
Mg 0.5000 0.5000 0.0000
Ag 0.0000 0.0000 0.0000
Ag 0.1114 0.6114 0.5000
Ag 0.3886 0.8886 0.5000
Ag 0.6114 0.1114 0.5000
Ag 0.8886 0.3886 0.5000

Output
Space-group type   I4/mmm


No. 6
Entry from Alexandria: a relaxed TbMg8Ag4 crystal (PBE).

Unit cell a=7.5050 b=7.5050 c=7.5050 alpha=98.16 beta=98.16 gamma=135.74
Fractional positions:
Tb 0.0000 0.0000 0.0000
Mg 0.0000 0.3424 0.3424
Mg 0.0000 0.6576 0.6576
Mg 0.2869 0.5000 0.7869
Mg 0.3424 0.0000 0.3424
Mg 0.5000 0.2869 0.7869
Mg 0.5000 0.7131 0.2131
Mg 0.6576 0.0000 0.6576
Mg 0.7131 0.5000 0.2131
Ag 0.0000 0.0000 0.5000
Ag 0.0000 0.5000 0.0000
Ag 0.5000 0.0000 0.0000
Ag 0.5000 0.5000 0.5000

Output
Space-group type   I4/mmm


No. 7
Entry from Alexandria: a relaxed TbMg4Ag crystal (PBE).

Unit cell a=8.9280 b=4.0537 c=7.7916 alpha=90.00 beta=90.00 gamma=90.00
Fractional positions:
Tb 0.2500 0.0000 0.1039
Tb 0.7500 0.0000 0.8961
Mg 0.0000 0.0000 0.5000
Mg 0.0502 0.5000 0.8133
Mg 0.2500 0.5000 0.4369
Mg 0.4498 0.5000 0.8133
Mg 0.5000 0.0000 0.5000
Mg 0.5502 0.5000 0.1867
Mg 0.7500 0.5000 0.5631
Mg 0.9498 0.5000 0.1867
Ag 0.2500 0.0000 0.7063
Ag 0.7500 0.0000 0.2937

Output
Space-group type   Pmma


No. 8
Entry from Alexandria: a relaxed TbMgAg4 crystal (PBE).

Unit cell a=3.9227 b=9.0822 c=3.9306 alpha=90.00 beta=90.00 gamma=90.00
Fractional positions:
Tb 0.0000 0.0000 0.0000
Mg 0.5024 0.5000 0.4989
Ag 0.0005 0.2654 0.4999
Ag 0.0005 0.7346 0.4999
Ag 0.5004 0.2656 0.9997
Ag 0.5004 0.7344 0.9997

Output
Offset from the most stable computed form   0.274 eV/atom
Space-group type   Pm


No. 9
Entry from Alexandria: a relaxed Tb4Mg5Ag crystal (PBE).

Unit cell a=3.6917 b=3.6917 c=18.8497 alpha=90.00 beta=90.00 gamma=90.00
Fractional positions:
Tb 0.0000 0.0000 0.1055
Tb 0.0000 0.0000 0.3090
Tb 0.0000 0.0000 0.6910
Tb 0.0000 0.0000 0.8945
Mg 0.5000 0.5000 0.0000
Mg 0.5000 0.5000 0.2074
Mg 0.5000 0.5000 0.4199
Mg 0.5000 0.5000 0.5801
Mg 0.5000 0.5000 0.7926
Ag 0.0000 0.0000 0.5000

Output
Space-group type   P4/mmm


No. 10
Entry from Alexandria: a relaxed Tb3Mg2Ag2 crystal (PBE).

Unit cell a=14.7494 b=14.7494 c=3.5164 alpha=90.00 beta=90.00 gamma=166.12
Fractional positions:
Tb 0.0000 0.0000 0.0000
Tb 0.1289 0.8711 0.0000
Tb 0.8711 0.1289 0.0000
Mg 0.2928 0.7071 0.5000
Mg 0.7071 0.2928 0.5000
Ag 0.4351 0.5649 0.5000
Ag 0.5649 0.4351 0.5000

Output
Space-group type   Cmmm


No. 11
Entry from Alexandria: a relaxed Tb4Mg5Ag2 crystal (PBE).

Unit cell a=7.9611 b=3.4843 c=10.3262 alpha=90.00 beta=93.32 gamma=90.00
Fractional positions:
Tb 0.1591 0.0000 0.3744
Tb 0.2528 0.0000 0.9488
Tb 0.7472 0.0000 0.0512
Tb 0.8409 0.0000 0.6256
Mg 0.1974 0.5000 0.6633
Mg 0.4382 0.5000 0.2003
Mg 0.5000 0.5000 0.5000
Mg 0.5618 0.5000 0.7997
Mg 0.8026 0.5000 0.3367
Ag 0.0600 0.5000 0.1383
Ag 0.9400 0.5000 0.8617

Output
Space-group type   P2/m


No. 12
Entry from Alexandria: a relaxed TbMgAg3 crystal (PBE).

Unit cell a=5.4090 b=5.7916 c=6.7947 alpha=90.00 beta=91.50 gamma=90.00
Fractional positions:
Tb 0.1500 0.2500 0.3570
Tb 0.8500 0.7500 0.6430
Mg 0.0979 0.7500 0.1017
Mg 0.9021 0.2500 0.8983
Ag 0.3426 0.7500 0.4553
Ag 0.3499 0.0048 0.8184
Ag 0.3499 0.4952 0.8184
Ag 0.6501 0.5048 0.1816
Ag 0.6501 0.9952 0.1816
Ag 0.6574 0.2500 0.5447

Output
Space-group type   P2_1/m


No. 13
Entry from Alexandria: a relaxed TbMg3Ag crystal (PBE).

Unit cell a=9.4243 b=3.9562 c=12.7978 alpha=90.00 beta=90.00 gamma=90.00
Fractional positions:
Tb 0.1649 0.2500 0.0048
Tb 0.3351 0.7500 0.5048
Tb 0.6649 0.2500 0.4952
Tb 0.8351 0.7500 0.9952
Mg 0.0615 0.2500 0.4147
Mg 0.0892 0.7500 0.2190
Mg 0.1590 0.7500 0.7892
Mg 0.3410 0.2500 0.2892
Mg 0.4108 0.2500 0.7190
Mg 0.4385 0.7500 0.9147
Mg 0.5615 0.2500 0.0853
Mg 0.5892 0.7500 0.2810
Mg 0.6590 0.7500 0.7108
Mg 0.8410 0.2500 0.2108
Mg 0.9108 0.2500 0.7810
Mg 0.9385 0.7500 0.5853
Ag 0.1424 0.2500 0.6283
Ag 0.3576 0.7500 0.1283
Ag 0.6424 0.2500 0.8717
Ag 0.8576 0.7500 0.3717

Output
Offset from the most stable computed form   0.020 eV/atom
Space-group type   Pnma


No. 14
Entry from Alexandria: a relaxed TbMg6Ag4 crystal (PBE).

Unit cell a=8.8250 b=8.8250 c=3.5290 alpha=90.00 beta=90.00 gamma=120.00
Fractional positions:
Tb 0.0000 0.0000 0.0000
Mg 0.0687 0.5344 0.0000
Mg 0.3872 0.1936 0.5000
Mg 0.4656 0.5344 0.0000
Mg 0.4656 0.9313 0.0000
Mg 0.8064 0.1936 0.5000
Mg 0.8064 0.6128 0.5000
Ag 0.1719 0.3438 0.5000
Ag 0.1719 0.8281 0.5000
Ag 0.6562 0.8281 0.5000
Ag 0.6667 0.3333 0.0000

Output
Space-group type   P-6m2


No. 15
Entry from Alexandria: a relaxed Tb4MgAg crystal (PBE).

Unit cell a=5.0515 b=5.0515 c=7.5301 alpha=90.00 beta=90.00 gamma=90.00
Fractional positions:
Tb 0.0000 0.5000 0.2332
Tb 0.0000 0.5000 0.7668
Tb 0.5000 0.0000 0.2332
Tb 0.5000 0.0000 0.7668
Mg 0.0000 0.0000 0.5000
Ag 0.5000 0.5000 0.0000

Output
Space-group type   P4/mmm


No. 16
Entry from Alexandria: a relaxed Tb3Mg2Ag crystal (PBE).

Unit cell a=3.7565 b=3.7565 c=11.1434 alpha=90.00 beta=90.00 gamma=90.00
Fractional positions:
Tb 0.0000 0.0000 0.0000
Tb 0.0000 0.0000 0.3410
Tb 0.0000 0.0000 0.6590
Mg 0.5000 0.5000 0.1669
Mg 0.5000 0.5000 0.8331
Ag 0.5000 0.5000 0.5000

Output
Space-group type   P4/mmm


No. 17
Entry from Alexandria: a relaxed TbMgAg4 crystal (PBE).

Unit cell a=5.6001 b=5.6001 c=5.6001 alpha=60.00 beta=60.00 gamma=60.00
Fractional positions:
Tb 0.0000 0.0000 0.0000
Mg 0.7500 0.7500 0.7500
Ag 0.3754 0.3754 0.3754
Ag 0.3754 0.3754 0.8737
Ag 0.3754 0.8737 0.3754
Ag 0.8737 0.3754 0.3754

Output
Offset from the most stable computed form   0.017 eV/atom
Space-group type   F-43m


No. 18
Entry from Alexandria: a relaxed Tb4MgAg2 crystal (PBE).

Unit cell a=9.3040 b=9.3040 c=9.3040 alpha=32.16 beta=32.16 gamma=32.16
Fractional positions:
Tb 0.1220 0.1220 0.1220
Tb 0.2888 0.2888 0.2888
Tb 0.7112 0.7112 0.7112
Tb 0.8780 0.8780 0.8780
Mg 0.5000 0.5000 0.5000
Ag 0.4009 0.4009 0.4009
Ag 0.5991 0.5991 0.5991

Output
Offset from the most stable computed form   0.123 eV/atom
Space-group type   R-3m


No. 19
Entry from Alexandria: a relaxed Tb2MgAg crystal (PBE).

Unit cell a=5.2618 b=5.2618 c=5.2618 alpha=60.00 beta=60.00 gamma=60.00
Fractional positions:
Tb 0.2500 0.2500 0.2500
Tb 0.7500 0.7500 0.7500
Mg 0.0000 0.0000 0.0000
Ag 0.5000 0.5000 0.5000

Output
Offset from the most stable computed form   0.043 eV/atom
Space-group type   Fm-3m


No. 20
Entry from Alexandria: a relaxed Tb3Mg7Ag4 crystal (PBE).

Unit cell a=8.4126 b=8.4126 c=10.8967 alpha=124.34 beta=124.34 gamma=31.02
Fractional positions:
Tb 0.0000 0.0000 0.0000
Tb 0.3012 0.3012 0.2855
Tb 0.6988 0.6988 0.7145
Mg 0.0000 0.0000 0.5000
Mg 0.1682 0.1682 0.4333
Mg 0.3259 0.3259 0.9920
Mg 0.4821 0.4821 0.6802
Mg 0.5179 0.5179 0.3198
Mg 0.6741 0.6741 0.0080
Mg 0.8318 0.8318 0.5667
Ag 0.1089 0.1089 0.8225
Ag 0.3435 0.3435 0.7506
Ag 0.6565 0.6565 0.2494
Ag 0.8911 0.8911 0.1775

Output
Space-group type   C2/m


No. 21
Entry from Alexandria: a relaxed Tb11Mg9Ag4 crystal (PBE).

Unit cell a=13.5957 b=13.5957 c=3.7217 alpha=90.00 beta=90.00 gamma=113.13
Fractional positions:
Tb 0.0000 0.0000 0.0000
Tb 0.0701 0.4144 0.0000
Tb 0.1606 0.8394 0.0000
Tb 0.2871 0.2871 0.0000
Tb 0.3616 0.6384 0.0000
Tb 0.4144 0.0701 0.0000
Tb 0.5856 0.9299 0.0000
Tb 0.6384 0.3616 0.0000
Tb 0.7129 0.7129 0.0000
Tb 0.8394 0.1606 0.0000
Tb 0.9299 0.5856 0.0000
Mg 0.0625 0.2127 0.5000
Mg 0.1508 0.6337 0.5000
Mg 0.2127 0.0625 0.5000
Mg 0.3663 0.8492 0.5000
Mg 0.5000 0.5000 0.5000
Mg 0.6337 0.1508 0.5000
Mg 0.7873 0.9375 0.5000
Mg 0.8492 0.3663 0.5000
Mg 0.9375 0.7873 0.5000
Ag 0.2549 0.4494 0.5000
Ag 0.4494 0.2549 0.5000
Ag 0.5506 0.7451 0.5000
Ag 0.7451 0.5506 0.5000

Output
Space-group type   Cmmm


No. 22
Entry from Alexandria: a relaxed TbMg4Ag2 crystal (PBE).

Unit cell a=8.4911 b=8.4911 c=4.3517 alpha=90.00 beta=90.00 gamma=90.00
Fractional positions:
Tb 0.0000 0.0000 0.0000
Tb 0.5000 0.5000 0.5000
Mg 0.0904 0.3381 0.5000
Mg 0.1619 0.5904 0.0000
Mg 0.3381 0.0904 0.5000
Mg 0.4096 0.8381 0.0000
Mg 0.5904 0.1619 0.0000
Mg 0.6619 0.9096 0.5000
Mg 0.8381 0.4096 0.0000
Mg 0.9096 0.6619 0.5000
Ag 0.2068 0.7932 0.5000
Ag 0.2932 0.2932 0.0000
Ag 0.7068 0.7068 0.0000
Ag 0.7932 0.2068 0.5000

Output
Space-group type   P4_2/mnm


Record order is preserved below.
Calculated total energy: -22.70; -12.69; -18.87; -26.09; -26.80; -31.13; -29.33; -17.23; -30.29; -23.71; -33.43; -31.53; -51.77; -27.57; -21.61; -20.87; -18.77; -25.55; -14.29; -39.12; -80.47; -35.74 eV per cell
Record order is preserved below.
Formation enthalpy at 0 K: -0.235; -0.191; -0.206; -0.155; -0.211; -0.180; -0.134; 0.067; -0.094; -0.132; -0.113; -0.197; -0.135; -0.179; 0.226; -0.157; -0.190; 0.039; -0.145; -0.190; -0.157; -0.165 eV per atom
Record order is preserved below.
Total magnetization: 0.000; 0.000; 0.000; 0.000; 0.000; 0.000; 0.000; 0.097; 0.001; 0.000; 0.000; 0.000; 0.000; 0.000; 0.000; 0.000; 0.000; 0.001; 0.000; 0.000; 0.001; 0.000 μB/f.u.